The following is a PBE calculation of a relaxed structure of TmZnAgF6, from Alexandria via LeMat-Bulk.

Cell and atoms, written as POSCAR:
```
TmZnAgF6
1.0
5.699 0.000 0.000
-2.849 4.935 0.000
0.000 0.000 10.085
Tm Zn Ag F
2 2 2 12
direct
0.333 0.667 0.250
0.667 0.333 0.750
0.667 0.333 0.250
0.333 0.667 0.750
0.000 0.000 0.000
0.000 0.000 0.500
0.637 0.626 0.141
0.989 0.363 0.141
0.363 0.989 0.641
0.011 0.637 0.859
0.374 0.363 0.359
0.989 0.626 0.359
0.626 0.989 0.859
0.637 0.011 0.359
0.011 0.374 0.641
0.374 0.011 0.141
0.626 0.637 0.641
0.363 0.374 0.859
```

* DOS(E_F): 0.000 states/eV per atom
* raw formation energy: -2792 meV/atom
* final energy: -89.91 eV/cell